## MnReTc2 (SCAN)

Data for a PBEsol-optimized structure of MnReTc2.

Density, g/cm³: 13.4
Symmetry: Cmmm, No. 65
E_form, meV/atom: 22
Uncorrected energy, eV per atom: -39.846

```
MnReTc2
1.0
-2.616 0.572 0.041
-0.650 -2.703 -3.703
-0.488 -2.510 3.860
Mn Re Tc
1 1 2
direct
0.500 0.000 0.000
0.500 0.500 0.500
0.000 0.500 0.000
0.000 0.000 0.500
```


## CaRe2Au (SCAN)

Data for a PBEsol-optimized structure of CaRe2Au.

Density, g/cm³: 14.0
Symmetry: P4mm, No. 99
E_form, meV/atom: 103
Uncorrected energy, eV per atom: -55.151

```
CaRe2Au
1.0
3.061 0.000 0.000
0.000 3.061 0.000
0.000 0.000 7.737
Re Ca Au
2 1 1
direct
0.000 0.000 0.050
0.500 0.500 0.221
0.500 0.500 0.755
0.000 0.000 0.474
```


## Mg2TcIrN (SCAN)

Data for a PBEsol-optimized structure of Mg2TcIrN.

Density, g/cm³: 8.4
Symmetry: P4/mmm, No. 123
Uncorrected energy, eV per atom: -24.963
Formation energy without anion corrections, eV per atom: 0.116

```
Mg2TcIrN
1.0
-1.831 -1.362 3.014
2.202 -3.676 -0.323
3.047 1.599 2.574
Mg Ir Tc N
2 1 1 1
direct
0.000 0.000 0.500
0.000 0.500 0.000
0.500 0.000 0.000
0.500 0.500 0.500
0.000 0.000 0.000
```